(1)
First-principles (PBE) data for a geometry-optimized La2Rh2O7 structure, as listed in Alexandria.

Cell: 7.457 7.457 7.457 Å, 60.00 60.00 60.00°
Site moments in Bohr magnetons follow the coordinates.
Fractional coordinates of all 22 atoms:
La 0.625 0.625 0.625  -0.01
La 0.625 0.625 0.125  -0.01
La 0.625 0.125 0.625  -0.01
La 0.125 0.625 0.625  -0.01
Rh 0.625 0.125 0.125  -0.35
Rh 0.125 0.625 0.125  -0.35
Rh 0.125 0.125 0.625  -0.35
Rh 0.125 0.125 0.125  -0.35
O 0.205 0.205 0.795  -0.05
O 0.205 0.795 0.205  -0.05
O 0.455 0.045 0.455  -0.05
O 0.455 0.455 0.045  -0.05
O 0.750 0.750 0.750  0.00
O 0.795 0.205 0.205  -0.05
O 0.455 0.045 0.045  -0.05
O 0.045 0.455 0.455  -0.05
O 0.045 0.045 0.455  -0.05
O 0.045 0.455 0.045  -0.05
O 0.205 0.795 0.795  -0.05
O 0.500 0.500 0.500  0.00
O 0.795 0.205 0.795  -0.05
O 0.795 0.795 0.205  -0.05

The density of states at the Fermi level comes out at 11.68 states/eV/cell. The final energy comes out at -7.396 eV/atom. The calculation puts the raw formation energy at -46.32 kcal/mol of atoms. As for the size of the total moment: 1.1 μB per formula unit. The symmetry is Fd-3m (227).


(2)
First-principles (PBE) data for a geometry-optimized LaRh3O structure, as listed in Alexandria.

Cell: 4.916 4.916 4.916 Å, 90.00 90.00 90.00°
Site moments in Bohr magnetons follow the coordinates.
Fractional coordinates of all 5 atoms:
Rh 0.000 0.500 0.000  0.56
Rh 0.000 0.000 0.500  0.46
Rh 0.500 0.000 0.000  0.48
O 0.500 0.500 0.500  1.00
La 0.000 0.000 0.000  -0.06

The density of states at the Fermi level comes out at 7.16 states/eV/cell. The final energy comes out at -4.811 eV/atom. The calculation puts the raw formation energy at 36.38 kcal/mol of atoms. As for the size of the total moment: 2.5 μB per formula unit. The symmetry is Pm-3m (221). The value obtained for the distance to the lowest polymorph of the same formula is 9.64 eV/f.u.